Entry 1:
DFT (PBE-GGA) results for crystalline DyTm5Bi4 at its relaxed geometry.

Geometry as extended XYZ:
```
10
Lattice="-3.832 1.432 -1.500 -3.230 -6.605 1.945 2.250 7.818 8.042" Properties=species:S:1:pos:R:3 pbc="T T T"
Dy -1.916 0.716 -0.750
Tm -3.994 1.348 5.161
Tm -2.418 4.438 4.086
Tm -2.393 -1.793 4.401
Tm -3.531 -2.586 0.222
Tm -0.817 1.297 3.325
Bi 0.061 5.868 5.446
Bi -3.726 3.870 6.884
Bi -4.872 -3.223 3.041
Bi -1.086 -1.226 1.603
```

Calculated values
formation energy from the elements: -0.517 eV per atom
magnetic moment: 1.67 μB per cell
DOS at the Fermi energy: 8.103 states/eV/f.u.

***

Entry 2:
DFT (PBE-GGA) results for crystalline DyTm3Bi3 at its relaxed geometry.

Geometry as extended XYZ:
```
28
Lattice="9.308 0.000 0.000 0.000 9.308 0.000 0.000 0.000 9.308" Properties=species:S:1:pos:R:3 pbc="T T T"
Dy 0.676 5.330 8.632
Dy 8.632 0.676 5.330
Dy 3.978 3.978 3.978
Dy 5.330 8.632 0.676
Tm 7.662 3.008 1.646
Tm 8.597 8.597 8.597
Tm 7.671 6.290 3.017
Tm 1.646 7.662 3.008
Tm 1.636 1.636 1.636
Tm 3.017 7.671 6.290
Tm 0.710 3.944 5.364
Tm 3.008 1.646 7.662
Tm 6.290 3.017 7.671
Tm 6.300 6.300 6.300
Tm 5.364 0.710 3.944
Tm 3.944 5.364 0.710
Bi 6.954 5.808 0.010
Bi 8.154 9.298 2.300
Bi 0.010 6.954 5.808
Bi 1.154 4.644 2.354
Bi 2.354 1.154 4.644
Bi 2.300 8.154 9.298
Bi 9.298 2.300 8.154
Bi 3.500 4.664 7.008
Bi 4.644 2.354 1.154
Bi 5.808 0.010 6.954
Bi 7.008 3.500 4.664
Bi 4.664 7.008 3.500
```

Calculated values
formation energy from the elements: -0.659 eV per atom
magnetic moment: 0.00 μB per cell
energy above the lowest structure with this stoichiometry: 0.0 kJ/mol of atoms
DOS at the Fermi energy: 7.902 states/eV/f.u.

***

Entry 3:
DFT (PBE-GGA) results for crystalline Dy5TmBi4 at its relaxed geometry.

Geometry as extended XYZ:
```
10
Lattice="-1.045 -4.035 -1.363 4.289 -3.022 5.656 -10.399 4.292 2.324" Properties=species:S:1:pos:R:3 pbc="T T T"
Dy -4.290 -2.746 4.363
Dy -6.229 -1.304 1.580
Dy -0.927 -1.462 5.037
Dy 1.622 -3.529 2.146
Dy -2.866 -0.019 2.254
Tm -0.523 -2.018 -0.682
Bi -7.749 1.494 1.521
Bi -7.286 -2.017 4.501
Bi 0.594 -4.259 5.097
Bi 0.130 -0.749 2.117
```

Calculated values
formation energy from the elements: -0.543 eV per atom
magnetic moment: 2.01 μB per cell
DOS at the Fermi energy: 7.314 states/eV/f.u.

***

Entry 4:
DFT (PBE-GGA) results for crystalline DyTm8Bi6 at its relaxed geometry.

Geometry as extended XYZ:
```
15
Lattice="7.544 0.000 0.000 3.772 6.533 0.000 3.772 2.178 9.801" Properties=species:S:1:pos:R:3 pbc="T T T"
Dy 0.000 0.000 0.000
Tm 6.306 2.161 3.594
Tm 8.825 2.186 6.207
Tm 5.025 4.331 6.207
Tm 7.544 4.356 0.004
Tm 7.544 4.356 9.797
Tm 10.064 4.380 3.594
Tm 6.263 6.525 3.594
Tm 8.783 6.550 6.207
Bi 6.307 2.173 7.963
Bi 8.816 2.193 1.838
Bi 5.036 4.335 1.838
Bi 10.053 4.376 7.963
Bi 6.272 6.518 7.963
Bi 8.781 6.538 1.838
```

Calculated values
formation energy from the elements: -0.451 eV per atom
magnetic moment: 0.00 μB per cell
DOS at the Fermi energy: 9.288 states/eV/f.u.

***

Entry 5:
DFT (PBE-GGA) results for crystalline DyTmBi at its relaxed geometry.

Geometry as extended XYZ:
```
6
Lattice="4.088 -1.194 0.461 -2.807 5.889 0.363 0.866 -1.671 8.190" Properties=species:S:1:pos:R:3 pbc="T T T"
Tm 1.981 3.219 0.757
Tm 0.167 -0.195 8.258
Dy -0.476 3.453 3.246
Dy 2.624 -0.429 5.769
Bi 1.176 2.476 6.241
Bi 0.971 0.547 2.774
```

Calculated values
formation energy from the elements: -0.504 eV per atom
magnetic moment: 0.00 μB per cell
DOS at the Fermi energy: 2.746 states/eV/f.u.

***

Entry 6:
DFT (PBE-GGA) results for crystalline Dy4TmBi5 at its relaxed geometry.

Geometry as extended XYZ:
```
10
Lattice="4.464 0.000 0.000 0.000 4.464 0.000 -2.232 -2.232 15.779" Properties=species:S:1:pos:R:3 pbc="T T T"
Dy 0.000 0.000 12.626
Dy 2.232 2.232 9.478
Dy 0.000 0.000 6.301
Dy 2.232 2.232 3.154
Tm 0.000 0.000 0.000
Bi 0.000 0.000 3.135
Bi 2.232 2.232 0.000
Bi 2.232 2.232 12.644
Bi 0.000 0.000 9.466
Bi 2.232 2.232 6.313
```

Calculated values
formation energy from the elements: -0.844 eV per atom
magnetic moment: 0.00 μB per cell
DOS at the Fermi energy: 1.211 states/eV/f.u.

***

Entry 7:
DFT (PBE-GGA) results for crystalline DyTm2Bi4 at its relaxed geometry.

Geometry as extended XYZ:
```
14
Lattice="-3.473 1.333 -2.495 -0.163 -5.981 1.053 -9.034 2.717 14.030" Properties=species:S:1:pos:R:3 pbc="T T T"
Dy -8.736 2.078 9.253
Dy -3.935 -4.009 3.336
Tm -4.458 -0.542 5.917
Tm -11.396 -0.432 11.615
Tm -1.275 -1.499 0.974
Tm -8.213 -1.389 6.671
Bi -4.162 -2.711 0.324
Bi -6.480 -2.014 3.925
Bi -8.509 0.780 12.265
Bi -6.190 0.083 8.663
Bi -9.847 -1.029 9.139
Bi -2.824 -0.902 3.450
Bi -1.737 0.667 -1.247
Bi -6.254 2.025 5.768
```

Calculated values
formation energy from the elements: -0.548 eV per atom
magnetic moment: 0.00 μB per cell
DOS at the Fermi energy: 3.045 states/eV/f.u.

***

Entry 8:
DFT (PBE-GGA) results for crystalline DyTm2Bi at its relaxed geometry.

Geometry as extended XYZ:
```
8
Lattice="4.606 0.000 -0.020 0.000 4.567 0.000 -2.255 0.000 11.256" Properties=species:S:1:pos:R:3 pbc="T T T"
Dy 2.323 3.425 4.302
Dy 0.029 1.142 6.934
Tm 2.309 1.142 1.311
Tm 0.043 3.425 9.924
Tm 0.005 3.425 1.314
Tm 2.347 1.142 9.922
Bi 0.018 1.142 3.753
Bi 2.334 3.425 7.483
```

Calculated values
formation energy from the elements: -0.413 eV per atom
magnetic moment: 0.00 μB per cell
energy above the lowest structure with this stoichiometry: 0.0 kJ/mol of atoms
DOS at the Fermi energy: 5.064 states/eV/f.u.

***

Entry 9:
DFT (PBE-GGA) results for crystalline DyTm5Bi6 at its relaxed geometry.

Geometry as extended XYZ:
```
12
Lattice="-1.968 -6.696 -3.220 4.547 -5.579 2.706 -2.037 -3.903 6.302" Properties=species:S:1:pos:R:3 pbc="T T T"
Dy 0.000 0.000 0.000
Tm -1.594 -6.882 3.054
Tm 0.832 -3.162 3.008
Tm 1.289 -6.138 -0.257
Tm 1.678 -6.320 6.000
Tm 2.136 -9.296 2.734
Bi -1.774 -6.788 -0.070
Bi 1.463 -6.233 2.874
Bi 0.654 -3.082 -0.123
Bi 1.925 -9.194 -0.391
Bi -0.921 -9.945 2.914
Bi 2.316 -9.390 5.858
```

Calculated values
formation energy from the elements: -0.795 eV per atom
magnetic moment: 0.00 μB per cell
DOS at the Fermi energy: 2.062 states/eV/f.u.

***

Entry 10:
DFT (PBE-GGA) results for crystalline Dy4TmBi2 at its relaxed geometry.

Geometry as extended XYZ:
```
7
Lattice="5.307 0.000 0.000 0.000 5.307 0.000 -2.653 -2.653 8.341" Properties=species:S:1:pos:R:3 pbc="T T T"
Dy 2.653 2.653 5.327
Dy 0.000 0.000 3.014
Dy 0.000 2.653 0.000
Dy 2.653 0.000 0.000
Tm 0.000 0.000 0.000
Bi 2.653 2.653 2.250
Bi 0.000 0.000 6.091
```

Calculated values
formation energy from the elements: 0.292 eV per atom
magnetic moment: 0.00 μB per cell
DOS at the Fermi energy: 5.730 states/eV/f.u.

***

Entry 11:
DFT (PBE-GGA) results for crystalline Dy4TmBi3 at its relaxed geometry.

Geometry as extended XYZ:
```
8
Lattice="4.040 0.000 0.000 0.000 8.623 -0.952 -2.020 -3.534 7.508" Properties=species:S:1:pos:R:3 pbc="T T T"
Dy 0.000 2.337 4.972
Dy 2.020 2.751 1.584
Dy 2.020 6.283 1.192
Dy 0.000 -1.195 5.364
Tm 2.020 0.000 0.000
Bi 0.000 4.311 -0.476
Bi 0.000 0.276 2.513
Bi 2.020 4.812 4.042
```

Calculated values
formation energy from the elements: -0.393 eV per atom
magnetic moment: 0.00 μB per cell
DOS at the Fermi energy: 8.865 states/eV/f.u.

***

Entry 12:
DFT (PBE-GGA) results for crystalline DyY2Tm3Bi6 at its relaxed geometry.

Geometry as extended XYZ:
```
12
Lattice="4.455 0.000 0.000 0.000 8.909 0.325 -2.228 -2.559 9.368" Properties=species:S:1:pos:R:3 pbc="T T T"
Dy 2.228 0.000 0.000
Y 2.228 4.236 6.463
Y 0.000 2.113 3.230
Tm 2.228 4.454 0.162
Tm 2.228 -0.217 6.297
Tm 0.000 6.566 3.396
Bi 0.000 6.488 6.531
Bi 2.228 4.364 3.297
Bi 2.228 -0.138 3.162
Bi 2.228 -0.312 9.432
Bi 0.000 6.661 0.261
Bi 0.000 1.985 6.396
```

Calculated values
formation energy from the elements: -0.833 eV per atom
magnetic moment: 0.00 μB per cell
DOS at the Fermi energy: 2.015 states/eV/f.u.